Entry 1:
VASP calculation (PBEsol) on a geometry-optimized ScSnS2 structure.

Lattice parameters (Å, degrees): 3.8338 3.8338 8.2394 76.55 76.55 60.00
Fractional coordinates of all 4 atoms:
S  0.1008  0.1008  0.6976
Sn  0.5000  0.5000  0.5000
Sc  0.0000  0.0000  0.0000
S  0.8992  0.8992  0.3024

Results
M_tot (Bohr magnetons per cell): 0.00
Energy relative to the elements, uncorrected (eV/atom): -0.49

=====

Entry 2:
VASP calculation (PBEsol) on a geometry-optimized SrSc2S structure.

Lattice parameters (Å, degrees): 3.6557 3.6557 10.8260 80.28 80.28 60.00
Fractional coordinates of all 4 atoms:
Sc  0.9277  0.9277  0.2168
S  0.0000  0.0000  0.0000
Sr  0.5000  0.5000  0.5000
Sc  0.0723  0.0723  0.7832

Results
M_tot (Bohr magnetons per cell): 0.00
Energy relative to the elements, uncorrected (eV/atom): -0.08

=====

Entry 3:
VASP calculation (PBEsol) on a geometry-optimized SrSc2S structure.

Lattice parameters (Å, degrees): 3.6057 3.6057 9.5712 79.14 79.14 60.00
Fractional coordinates of all 4 atoms:
S  0.5000  0.5000  0.5000
Sc  0.1177  0.1177  0.6470
Sc  0.8823  0.8823  0.3530
Sr  0.0000  0.0000  0.0000

Results
M_tot (Bohr magnetons per cell): 0.00
Energy relative to the elements, uncorrected (eV/atom): -0.75

=====

Entry 4:
VASP calculation (PBEsol) on a geometry-optimized SrSc2S4 structure.

Lattice parameters (Å, degrees): 3.7515 11.5312 13.5666 90.00 90.00 90.00
Fractional coordinates of all 28 atoms:
Sc  0.7500  0.4195  0.9016
S  0.7500  0.9130  0.9242
Sc  0.7500  0.9394  0.1090
S  0.7500  0.2042  0.8396
Sc  0.2500  0.5805  0.0984
S  0.2500  0.4729  0.7839
Sr  0.7500  0.2611  0.1669
S  0.7500  0.5271  0.2161
Sc  0.2500  0.0606  0.8910
S  0.2500  0.2958  0.3396
S  0.2500  0.8757  0.4733
S  0.2500  0.7958  0.1604
S  0.7500  0.7042  0.6604
S  0.7500  0.0271  0.2839
Sc  0.2500  0.0805  0.4016
S  0.2500  0.3757  0.0267
Sc  0.7500  0.4394  0.3910
S  0.2500  0.0870  0.0758
S  0.7500  0.6243  0.9733
S  0.7500  0.4130  0.5758
S  0.2500  0.5870  0.4242
Sr  0.2500  0.2389  0.6669
S  0.7500  0.1243  0.5267
S  0.2500  0.9729  0.7161
Sr  0.7500  0.7611  0.3331
Sr  0.2500  0.7389  0.8331
Sc  0.7500  0.9195  0.5984
Sc  0.2500  0.5606  0.6090

Results
M_tot (Bohr magnetons per cell): 0.00
Energy relative to the elements, uncorrected (eV/atom): -2.06

=====

Entry 5:
VASP calculation (PBEsol) on a geometry-optimized SrZrSc2S structure.

Lattice parameters (Å, degrees): 4.9916 5.2627 5.2627 90.00 90.00 90.00
Fractional coordinates of all 5 atoms:
S  0.5000  0.0000  0.0000
Sc  0.0000  0.5000  0.0000
Zr  0.0000  0.0000  0.0000
Sc  0.0000  0.0000  0.5000
Sr  0.5000  0.5000  0.5000

Results
M_tot (Bohr magnetons per cell): 0.00
Energy relative to the elements, uncorrected (eV/atom): 0.16

=====

Entry 6:
VASP calculation (PBEsol) on a geometry-optimized ScTaS2 structure.

Lattice parameters (Å, degrees): 5.3295 5.3295 7.0774 112.12 112.12 90.00
Fractional coordinates of all 8 atoms:
Sc  0.5000  0.5000  0.0000
Ta  0.2500  0.7500  0.5000
S  0.6250  0.6466  0.7500
Ta  0.0000  0.0000  0.0000
S  0.3534  0.8750  0.2500
Sc  0.7500  0.2500  0.5000
S  0.8966  0.3750  0.2500
S  0.1250  0.1034  0.7500

Results
M_tot (Bohr magnetons per cell): 0.68
Energy relative to the elements, uncorrected (eV/atom): -0.76

=====

Entry 7:
VASP calculation (PBEsol) on a geometry-optimized Tb3Sc2S7 structure.

Lattice parameters (Å, degrees): 3.7056 6.4155 11.2385 104.56 90.00 106.79
Fractional coordinates of all 12 atoms:
S  0.7350  0.4700  0.3609
Sc  0.1119  0.2239  0.4299
S  0.0308  0.0617  0.7750
Tb  0.0000  0.0000  0.0000
Tb  0.3041  0.6082  0.2025
S  0.5000  0.0000  0.5000
S  0.3363  0.6726  0.9467
Tb  0.6959  0.3918  0.7975
Sc  0.8881  0.7761  0.5701
S  0.2650  0.5300  0.6391
S  0.6637  0.3274  0.0533
S  0.9692  0.9383  0.2250

Results
M_tot (Bohr magnetons per cell): 0.00
Energy relative to the elements, uncorrected (eV/atom): -2.09

=====

Entry 8:
VASP calculation (PBEsol) on a geometry-optimized TbScS3 structure.

Lattice parameters (Å, degrees): 6.2772 6.9864 9.3614 90.00 90.00 90.00
Fractional coordinates of all 20 atoms:
Sc  0.0000  0.5000  0.5000
Tb  0.5427  0.3943  0.7500
S  0.6443  0.9550  0.2500
S  0.1710  0.8172  0.0691
S  0.6710  0.6828  0.5691
Tb  0.4573  0.6057  0.2500
Tb  0.0427  0.1057  0.2500
S  0.8290  0.1828  0.5691
Tb  0.9573  0.8943  0.7500
S  0.3557  0.0450  0.7500
S  0.3290  0.3172  0.4309
S  0.3290  0.3172  0.0691
S  0.6710  0.6828  0.9309
Sc  0.5000  0.0000  0.0000
S  0.8557  0.4550  0.2500
S  0.8290  0.1828  0.9309
S  0.1710  0.8172  0.4309
S  0.1443  0.5450  0.7500
Sc  0.5000  0.0000  0.5000
Sc  0.0000  0.5000  0.0000

Results
M_tot (Bohr magnetons per cell): 0.00
Energy relative to the elements, uncorrected (eV/atom): -2.05

=====

Entry 9:
VASP calculation (PBEsol) on a geometry-optimized ScTe3S structure.

Lattice parameters (Å, degrees): 5.3556 5.3556 5.3556 90.00 90.00 90.00
Fractional coordinates of all 5 atoms:
Te  0.5000  0.0000  0.0000
Sc  0.0000  0.0000  0.0000
Te  0.0000  0.5000  0.0000
S  0.5000  0.5000  0.5000
Te  0.0000  0.0000  0.5000

Results
M_tot (Bohr magnetons per cell): 0.43
Energy relative to the elements, uncorrected (eV/atom): 0.23

=====

Entry 10:
VASP calculation (PBEsol) on a geometry-optimized ScTeS2 structure.

Lattice parameters (Å, degrees): 3.6559 3.6559 8.3489 77.35 77.35 60.00
Fractional coordinates of all 4 atoms:
Te  0.0000  0.0000  0.0000
S  0.8918  0.8918  0.3244
S  0.1082  0.1082  0.6756
Sc  0.5000  0.5000  0.5000

Results
M_tot (Bohr magnetons per cell): 0.00
Energy relative to the elements, uncorrected (eV/atom): -1.11

=====

Entry 11:
VASP calculation (PBEsol) on a geometry-optimized Sc3TeS structure.

Lattice parameters (Å, degrees): 5.2252 5.2252 5.2252 90.00 90.00 90.00
Fractional coordinates of all 5 atoms:
Sc  0.0000  0.0000  0.5000
Te  0.0000  0.0000  0.0000
S  0.5000  0.5000  0.5000
Sc  0.0000  0.5000  0.0000
Sc  0.5000  0.0000  0.0000

Results
M_tot (Bohr magnetons per cell): 0.00
Energy relative to the elements, uncorrected (eV/atom): 0.18

=====

Entry 12:
VASP calculation (PBEsol) on a geometry-optimized ScTl3S structure.

Lattice parameters (Å, degrees): 5.2920 5.2920 5.2920 90.00 90.00 90.00
Fractional coordinates of all 5 atoms:
Sc  0.5000  0.5000  0.5000
Tl  0.5000  0.0000  0.0000
Tl  0.0000  0.0000  0.5000
S  0.0000  0.0000  0.0000
Tl  0.0000  0.5000  0.0000

Results
M_tot (Bohr magnetons per cell): 0.01
Energy relative to the elements, uncorrected (eV/atom): 0.44